[1]
Density functional theory data (PBE-GGA) for a geometry-optimized KTe2SBr structure.

Cell: 5.5528 6.4219 5.5528 Å, 90.00 90.00 90.00°
With the nearest neighbours (Å) after each atom.
Atoms (fractional coordinates):
K 0.0000 0.5000 0.0000  2 Br 3.21
Te 0.0000 0.0000 0.5000  2 Br 2.78
Te 0.5000 0.0000 0.0000  2 Br 2.78
S 0.5000 0.5000 0.5000  4 K 3.93, 8 Te 4.24
Br 0.0000 0.0000 0.0000  4 Te 2.78

Fermi-level density of states ... 4.84 states/eV/f.u.
Formation energy from raw total energies ... 0.38 eV/atom
VASP energy ... -2.26 eV per atom

---

[2]
Density functional theory data (PBE-GGA) for a geometry-optimized K2US2Br2 structure.

Cell: 5.2785 5.2785 9.2340 Å, 106.61 106.61 90.00°
With the nearest neighbours (Å) after each atom.
Atoms (fractional coordinates):
K 0.3708 0.3708 0.7416  1 Br 3.37, 4 S 3.42
K 0.6292 0.6292 0.2584  1 Br 3.37, 4 S 3.42
U 0.0000 0.0000 0.0000  4 S 2.64, 2 Br 2.89
S 0.0000 0.5000 0.0000  2 U 2.64
S 0.5000 0.0000 0.0000  2 U 2.64
Br 0.1712 0.1712 0.3424  1 U 2.89
Br 0.8288 0.8288 0.6576  1 U 2.89

Fermi-level density of states ... 5.60 states/eV/f.u.
Formation energy from raw total energies ... -1.50 eV/atom
VASP energy ... -5.09 eV per atom

---

[3]
Density functional theory data (PBE-GGA) for a geometry-optimized KSbBr structure.

Cell: 5.8014 5.8014 5.8014 Å, 60.00 60.00 60.00°
With the nearest neighbours (Å) after each atom.
Atoms (fractional coordinates):
Br 0.7500 0.7500 0.7500  4 Sb 3.55, 4 K 3.55
K 0.0000 0.0000 0.0000  4 Br 3.55
Sb 0.5000 0.5000 0.5000  4 Br 3.55

Fermi-level density of states ... 1.05 states/eV/f.u.
Formation energy from raw total energies ... -0.16 eV/atom
VASP energy ... -2.46 eV per atom
Energy relative to the lowest polymorph listed for this composition ... 0.2748 eV per atom

---

[4]
Density functional theory data (PBE-GGA) for a geometry-optimized KSb2Br7 structure.

Cell: 5.6213 8.4550 8.4550 Å, 112.91 90.00 90.00°
With the nearest neighbours (Å) after each atom.
Atoms (fractional coordinates):
K 0.0000 0.0000 0.0000  10 Br 3.80-3.95
Sb 0.5000 0.7140 0.2860  5 Br 2.77-3.02
Sb 0.5000 0.2860 0.7140  5 Br 2.77-3.02
Br 0.0000 0.7194 0.2806  2 Sb 2.81
Br 0.0000 0.2806 0.7194  2 Sb 2.81
Br 0.5000 0.0524 0.3187  1 Sb 2.77
Br 0.5000 0.9476 0.6813  1 Sb 2.77
Br 0.5000 0.3187 0.0524  1 Sb 2.77
Br 0.5000 0.6813 0.9476  1 Sb 2.77
Br 0.5000 0.5000 0.5000  2 Sb 3.02

Formation energy from raw total energies ... -0.75 eV/atom
VASP energy ... -2.86 eV per atom

---

[5]
Density functional theory data (PBE-GGA) for a geometry-optimized K5Sb2Br12 structure.

Cell: 8.1341 10.1265 10.7141 Å, 107.15 90.00 113.68°
With the nearest neighbours (Å) after each atom.
Atoms (fractional coordinates):
K 0.2930 0.5859 0.6366  7 Br 3.36-3.57
K 0.3099 0.6199 0.1709  7 Br 3.30-3.58
K 0.0000 0.0000 0.5000  6 Br 3.32-3.40
K 0.6901 0.3801 0.8291  7 Br 3.30-3.58
K 0.7070 0.4141 0.3634  7 Br 3.36-3.57
Sb 0.7482 0.0000 0.0000  6 Br 2.78-2.88
Sb 0.2518 0.0000 0.0000  6 Br 2.78-2.88
Br 0.0107 0.0214 0.1895  2 Sb 2.85
Br 0.1004 0.6843 0.9300  1 Sb 2.78
Br 0.5839 0.6843 0.9300  1 Sb 2.78
Br 0.1170 0.7105 0.4345  4 K 3.30-3.38
Br 0.5935 0.7105 0.4345  4 K 3.30-3.38
Br 0.4927 0.9855 0.8041  2 Sb 2.88
Br 0.5073 0.0145 0.1959  2 Sb 2.88
Br 0.8830 0.2895 0.5655  4 K 3.30-3.38
Br 0.4065 0.2895 0.5655  4 K 3.30-3.38
Br 0.8996 0.3157 0.0700  1 Sb 2.78
Br 0.4161 0.3157 0.0700  1 Sb 2.78
Br 0.9893 0.9786 0.8105  2 Sb 2.85

Fermi-level density of states ... 10.60 states/eV/f.u.
Formation energy from raw total energies ... -1.12 eV/atom
VASP energy ... -2.90 eV per atom

---

[6]
Density functional theory data (PBE-GGA) for a geometry-optimized K4SbBr structure.

Cell: 8.1035 8.5520 10.0789 Å, 111.76 110.21 97.65°
With the nearest neighbours (Å) after each atom.
Atoms (fractional coordinates):
K 0.9934 0.2551 0.9524  2 Br 3.38-3.50, 2 Sb 3.55-3.60
K 0.7531 0.6347 0.5756  1 Br 3.32, 2 Sb 3.52-3.53
K 0.4590 0.6973 0.9524  2 Br 3.38-3.50, 2 Sb 3.55-3.60
K 0.3224 0.9409 0.5756  1 Br 3.32, 2 Sb 3.52-3.53
K 0.6776 0.0591 0.4244  1 Br 3.32, 2 Sb 3.52-3.53
K 0.5410 0.3027 0.0476  2 Br 3.38-3.50, 2 Sb 3.55-3.60
K 0.2469 0.3653 0.4244  1 Br 3.32, 2 Sb 3.52-3.53
K 0.0066 0.7449 0.0476  2 Br 3.38-3.50, 2 Sb 3.55-3.60
Sb 0.3804 0.6304 0.2608  8 K 3.52-3.60
Sb 0.6196 0.3696 0.7392  8 K 3.52-3.60
Br 0.1675 0.9175 0.8351  6 K 3.32-3.50
Br 0.8325 0.0825 0.1649  6 K 3.32-3.50

Fermi-level density of states ... 1.30 states/eV/f.u.
Formation energy from raw total energies ... -0.82 eV/atom
VASP energy ... -2.52 eV per atom
Energy relative to the lowest polymorph listed for this composition ... 0.0000 eV per atom

---

[7]
Density functional theory data (PBE-GGA) for a geometry-optimized KSbBr structure.

Cell: 3.8572 3.8572 7.8816 Å, 90.00 90.00 120.00°
With the nearest neighbours (Å) after each atom.
Atoms (fractional coordinates):
Br 0.0000 0.0000 0.0192  3 K 3.10, 3 Sb 3.43
K 0.6667 0.3333 0.2932  3 Br 3.10
Sb 0.3333 0.6667 0.6876  3 Br 3.43, 3 K 3.82

Fermi-level density of states ... 2.19 states/eV/f.u.
Formation energy from raw total energies ... -0.28 eV/atom
VASP energy ... -2.58 eV per atom
Energy relative to the lowest polymorph listed for this composition ... 0.1503 eV per atom

---

[8]
Density functional theory data (PBE-GGA) for a geometry-optimized KSb3Br structure.

Cell: 6.0063 6.0063 6.0063 Å, 90.00 90.00 90.00°
With the nearest neighbours (Å) after each atom.
Atoms (fractional coordinates):
Sb 0.0000 0.5000 0.0000  2 K 3.00
Sb 0.0000 0.0000 0.5000  2 K 3.00
Sb 0.5000 0.0000 0.0000  2 K 3.00
K 0.0000 0.0000 0.0000  6 Sb 3.00
Br 0.5000 0.5000 0.5000  12 Sb 4.25

Fermi-level density of states ... 6.88 states/eV/f.u.
Formation energy from raw total energies ... 1.22 eV/atom
VASP energy ... -1.81 eV per atom
Energy relative to the lowest polymorph listed for this composition ... 0.7261 eV per atom

---

[9]
Density functional theory data (PBE-GGA) for a geometry-optimized K2Sb2Br structure.

Cell: 4.2824 4.2824 10.2637 Å, 77.96 77.96 90.00°
With the nearest neighbours (Å) after each atom.
Atoms (fractional coordinates):
Sb 0.7500 0.2500 0.5000  4 Sb 3.03
Sb 0.2500 0.7500 0.5000  4 Sb 3.03
K 0.4040 0.4040 0.1919  4 Br 3.57, 4 Sb 3.70, 1 K 3.76
K 0.5960 0.5960 0.8081  4 Br 3.57, 4 Sb 3.70, 1 K 3.76
Br 0.0000 0.0000 0.0000  8 K 3.57

Fermi-level density of states ... 1.62 states/eV/f.u.
Formation energy from raw total energies ... -0.81 eV/atom
VASP energy ... -3.23 eV per atom
Energy relative to the lowest polymorph listed for this composition ... 0.0000 eV per atom

---

[10]
Density functional theory data (PBE-GGA) for a geometry-optimized KSb3Br structure.

Cell: 5.7023 5.7023 5.7023 Å, 90.00 90.00 90.00°
With the nearest neighbours (Å) after each atom.
Atoms (fractional coordinates):
Sb 0.0000 0.5000 0.0000  2 Br 2.85
Sb 0.0000 0.0000 0.5000  2 Br 2.85
Sb 0.5000 0.0000 0.0000  2 Br 2.85
K 0.5000 0.5000 0.5000  12 Sb 4.03
Br 0.0000 0.0000 0.0000  6 Sb 2.85

Fermi-level density of states ... 6.69 states/eV/f.u.
Formation energy from raw total energies ... 0.49 eV/atom
VASP energy ... -2.54 eV per atom
Energy relative to the lowest polymorph listed for this composition ... 0.0000 eV per atom

---

| no. | calculated volume (Å³/atom) |
| --- | --- |
| 1 | 39.60 |
| 2 | 33.62 |
| 3 | 46.02 |
| 4 | 37.02 |
| 5 | 40.27 |
| 6 | 48.40 |
| 7 | 33.85 |
| 8 | 43.34 |
| 9 | 35.97 |
| 10 | 37.08 |